Version one
Here is a geometry-optimized AlAuCl2 structure from the Alexandria database. Energies are from PBE.

Cell lengths 3.4061, 3.4179, 7.3627 Å; angles 90.00, 90.00, 90.00 degrees
Closest atoms and distances in Å follow each position.
Element x y z (fractional)
Au 0.5000 0.5000 0.7500  8 Cl 3.00
Cl 0.0000 0.0000 0.5084  4 Au 3.00, 4 Al 3.07
Cl 0.0000 0.0000 0.9916  4 Au 3.00, 4 Al 3.07
Al 0.5000 0.5000 0.2500  8 Cl 3.07, 4 Al 3.41-3.42

Version two
Here is a geometry-optimized AlAuCl2 structure from the Alexandria database. Energies are from PBE.

Cell lengths 3.8118, 3.8118, 8.6850 Å; angles 90.00, 90.00, 126.76 degrees
Closest atoms and distances in Å follow each position.
Element x y z (fractional)
Cl 0.5000 0.5000 0.3225  2 Al 2.42
Cl 0.0000 0.0000 0.9368  2 Au 2.54
Al 0.0000 0.0000 0.5206  2 Cl 2.42, 2 Au 2.43
Au 0.5000 0.5000 0.7202  2 Al 2.43, 2 Cl 2.54

So which one is most stable? That would be version two, about 54.3 kJ/mol of atoms below the next structure.

Version one
Here is a geometry-optimized AlAuCl2 structure from the Alexandria database. Energies are from PBE.

Cell lengths 4.8180, 4.8180, 4.8180 Å; angles 60.00, 60.00, 60.00 degrees
Closest atoms and distances in Å follow each position.
Element x y z (fractional)
Cl 0.0000 0.0000 0.0000  4 Cl 2.95, 4 Au 2.95
Cl 0.2500 0.2500 0.2500  4 Cl 2.95, 4 Al 2.95
Al 0.5000 0.5000 0.5000  4 Cl 2.95, 4 Au 2.95
Au 0.7500 0.7500 0.7500  4 Cl 2.95, 4 Al 2.95

Version two
Here is a geometry-optimized AlAuCl2 structure from the Alexandria database. Energies are from PBE.

Cell lengths 3.2503, 6.3327, 5.6875 Å; angles 69.90, 90.00, 90.00 degrees
Closest atoms and distances in Å follow each position.
Element x y z (fractional)
Al 0.0000 0.5960 0.4133  3 Cl 2.19-2.36
Cl 0.0000 0.8566 0.0412  1 Al 2.19
Cl 0.5000 0.3460 0.3592  2 Al 2.36
Au 0.5000 0.7014 0.6863  2 Al 2.49

So which one is most stable? That would be version two, about 91.0 kJ/mol of atoms below the next structure.